A relaxed ScInMo2 crystal, computed with PBE-GGA.

The space group is Imm2 (No. 44) and the conventional cell measures 3.438, 4.752 and 9.123 Å, with angles of 90.00, 90.00 and 90.00 degrees. The distinct sites, in fractional coordinates, are Sc at (0.000, 0.000, 0.000), In at (0.000, 0.500, 0.777), Mo at (0.000, 0.000, 0.545) and Mo at (0.000, 0.500, 0.248).

The calculation puts the formation energy at 49 meV/atom. As for the calculated volume: 18.63 A^3/atom. The crystal system is orthorhombic. The magnetic moment comes out at 0.00 μB/f.u. The calculated total energy comes out at -0.5611 Ry/atom.

***

A relaxed NaTbPdPb crystal, computed with PBE-GGA.

The space group is F-43m (No. 216) and the conventional cell measures 7.242, 7.242 and 7.242 Å, with angles of 90.00, 90.00 and 90.00 degrees. The distinct sites, in fractional coordinates, are Na at (0.000, 0.000, 0.000), Tb at (0.000, 0.000, 0.500), Pd at (0.250, 0.250, 0.750) and Pb at (0.250, 0.250, 0.250).

The calculation puts the formation energy at -353 meV/atom. As for the calculated volume: 23.74 A^3/atom. The crystal system is cubic. The magnetic moment comes out at 0.00 μB/f.u. The calculated total energy comes out at -0.2988 Ry/atom.

***

A relaxed DyAlAu4 crystal, computed with PBE-GGA.

The space group is P-1 (No. 2) and the conventional cell measures 3.568, 3.740 and 8.830 Å, with angles of 83.94, 89.52 and 89.84 degrees. The distinct sites, in fractional coordinates, are Dy at (0.000, 0.000, 0.000), Al at (0.500, 0.500, 0.500), Au at (0.003, 0.084, 0.651) and Au at (0.498, 0.454, 0.182).

The calculation puts the formation energy at -525 meV/atom. The calculation puts the energy relative to the lowest polymorph listed for this composition at 5 meV per atom. As for the calculated volume: 19.53 A^3/atom. The crystal system is triclinic. The magnetic moment comes out at 0.00 μB/f.u. The calculated total energy comes out at -0.3014 Ry/atom.

***

A relaxed LiMn2Pd3 crystal, computed with PBE-GGA.

The space group is P4/mmm (No. 123) and the conventional cell measures 3.091, 3.091 and 9.176 Å, with angles of 90.00, 90.00 and 90.00 degrees. The distinct sites, in fractional coordinates, are Li at (0.000, 0.000, 0.000), Mn at (0.000, 0.000, 0.327), Pd at (0.500, 0.500, 0.160) and Pd at (0.500, 0.500, 0.500).

The calculation puts the formation energy at -293 meV/atom. As for the calculated volume: 14.61 A^3/atom. The crystal system is tetragonal. The magnetic moment comes out at 9.00 μB/f.u. The calculated total energy comes out at -0.4605 Ry/atom.

***

A relaxed ScNbGaPt2 crystal, computed with PBE-GGA.

The space group is P4/mmm (No. 123) and the conventional cell measures 4.905, 4.905 and 5.095 Å, with angles of 90.00, 90.00 and 90.00 degrees. The distinct sites, in fractional coordinates, are Sc at (0.000, 0.000, 0.000), Nb at (0.000, 0.000, 0.500), Ga at (0.500, 0.500, 0.000) and Pt at (0.000, 0.500, 0.500).

The calculation puts the formation energy at 610 meV/atom. As for the calculated volume: 24.52 A^3/atom. The crystal system is tetragonal. The magnetic moment comes out at 0.00 μB/f.u. The calculated total energy comes out at -0.4184 Ry/atom.

***

A relaxed PrP2Pb crystal, computed with PBE-GGA.

The space group is R-3m (No. 166, hexagonal axes) and the conventional cell measures 4.4923, 4.4923 and 23.3596 Å, with angles of 90.00, 90.00 and 120.00 degrees. The distinct sites, in fractional coordinates, are Pr at (0.0000, 0.0000, 0.0000), P at (0.0000, 0.0000, 0.3917) and Pb at (0.0000, 0.0000, 0.5000).

The calculation puts the formation energy at -138 meV/atom. As for the calculated volume: 34.02 A^3/atom. The crystal system is trigonal. The magnetic moment comes out at 0.00 μB/f.u. The calculated total energy comes out at -0.3649 Ry/atom.